(1)
A plane-wave DFT calculation with meta-GGA SCAN was carried out for a crystal of AlGaN2 relaxed with PBEsol.

## Properties
uncorrected energy: -11.83 eV per atom
DOS(E_F): 0.0 states/eV/f.u.
SG: I-42d
mass density: 4.75 g cm⁻³
ΔE to the lowest computed polymorph: 5 meV per atom
E_form (uncorrected): -446 kJ/mol of formula units

Cell: 4.4337 4.4337 5.4343 Å, 114.08 114.08 90.00°
Fractional positions:
Al: 0.7500 0.2500 0.5000
Al: 0.5000 0.5000 0.0000
N: 0.3866 0.8750 0.2500
N: 0.6250 0.6134 0.7500
N: 0.8634 0.3750 0.2500
N: 0.1250 0.1366 0.7500
Ga: 0.2500 0.7500 0.5000
Ga: 0.0000 0.0000 0.0000



(2)
A plane-wave DFT calculation with meta-GGA SCAN was carried out for a crystal of Al2GaN3 relaxed with PBEsol.

## Properties
uncorrected energy: -11.29 eV per atom
DOS(E_F): 0.0 states/eV/f.u.
SG: Cm
mass density: 4.26 g cm⁻³
E_form (uncorrected): -775 kJ/mol of formula units

Cell: 3.1344 5.9520 7.4212 Å, 104.26 90.00 105.27°
Fractional positions:
Ga: 0.2771 0.5542 0.0576
Ga: 0.6097 0.2194 0.7219
Al: 0.2231 0.4462 0.4445
Al: 0.9442 0.8885 0.3893
Al: 0.5540 0.1081 0.1130
Al: 0.8889 0.7778 0.7766
N: 0.1477 0.2954 0.1850
N: 0.7644 0.5287 0.9017
N: 0.0953 0.1906 0.5649
N: 0.8183 0.6367 0.5150
N: 0.4817 0.9634 0.8524
N: 0.4309 0.8619 0.2429



(3)
A plane-wave DFT calculation with meta-GGA SCAN was carried out for a crystal of AlGaN2 relaxed with PBEsol.

## Properties
uncorrected energy: -11.83 eV per atom
DOS(E_F): 0.0 states/eV/f.u.
SG: P3m1
mass density: 4.74 g cm⁻³
ΔE to the lowest computed polymorph: 0 meV per atom
E_form (uncorrected): -448 kJ/mol of formula units

Cell: 3.1454 3.1454 5.0960 Å, 90.00 90.00 120.00°
Fractional positions:
Al: 0.0000 0.0000 0.0005
N: 0.3333 0.6667 0.8873
N: 0.0000 0.0000 0.3730
Ga: 0.3333 0.6667 0.5028



(4)
A plane-wave DFT calculation with meta-GGA SCAN was carried out for a crystal of AlGa3N relaxed with PBEsol.

## Properties
uncorrected energy: -12.69 eV per atom
DOS(E_F): 2.5 states/eV/f.u.
SG: Pm-3m
mass density: 5.31 g cm⁻³
E_form (uncorrected): 253 kJ/mol of formula units

Cell: 4.2772 4.2772 4.2772 Å, 90.00 90.00 90.00°
Fractional positions:
Ga: 0.0000 0.5000 0.0000
Ga: 0.0000 0.0000 0.5000
Ga: 0.5000 0.0000 0.0000
N: 0.0000 0.0000 0.0000
Al: 0.5000 0.5000 0.5000



(5)
A plane-wave DFT calculation with meta-GGA SCAN was carried out for a crystal of AlGaS2N relaxed with PBEsol.

## Properties
uncorrected energy: -10.02 eV per atom
DOS(E_F): 1.5 states/eV/f.u.
SG: P4/mmm
mass density: 3.48 g cm⁻³
E_form (uncorrected): 246 kJ/mol of formula units

Cell: 3.6403 4.7869 4.7869 Å, 90.00 90.00 90.00°
Last column: magnetic moment on the atom in μB.
Fractional positions:
Al: 0.5000 0.5000 0.5000  0.00
Ga: 0.0000 0.0000 0.0000  -0.03
S: 0.0000 0.0000 0.5000  0.12
S: 0.0000 0.5000 0.0000  0.12
N: 0.5000 0.0000 0.0000  1.03



(6)
A plane-wave DFT calculation with meta-GGA SCAN was carried out for a crystal of Zr2AlGaN relaxed with PBEsol.

## Properties
uncorrected energy: -18.57 eV per atom
DOS(E_F): 2.7 states/eV/f.u.
SG: P4/mmm
mass density: 5.23 g cm⁻³
E_form (uncorrected): 187 kJ/mol of formula units

Cell: 3.4535 5.1933 5.1933 Å, 90.00 90.00 90.00°
Fractional positions:
Ga: 0.5000 0.5000 0.5000
Zr: 0.0000 0.5000 0.0000
Zr: 0.0000 0.0000 0.5000
N: 0.5000 0.0000 0.0000
Al: 0.0000 0.0000 0.0000



(7)
A plane-wave DFT calculation with meta-GGA SCAN was carried out for a crystal of NaAl2GaO relaxed with PBEsol.

## Properties
uncorrected energy: -9.07 eV per atom
DOS(E_F): 1.3 states/eV/f.u.
SG: P4/mmm
mass density: 3.64 g cm⁻³
E_form (uncorrected): -293 kJ/mol of formula units

Cell: 4.1329 4.1329 4.3439 Å, 90.00 90.00 90.00°
Fractional positions:
Al: 0.5000 0.0000 0.0000
Al: 0.0000 0.5000 0.0000
Ga: 0.5000 0.5000 0.5000
O: 0.0000 0.0000 0.0000
Na: 0.0000 0.0000 0.5000



(8)
A plane-wave DFT calculation with meta-GGA SCAN was carried out for a crystal of NbAl2Ga relaxed with PBEsol.

## Properties
uncorrected energy: -16.12 eV per atom
DOS(E_F): 1.2 states/eV/f.u.
SG: I-42d
formation enthalpy at 0 K: 129 meV/atom
mass density: 5.23 g cm⁻³

Cell: 5.3085 5.7415 5.7415 Å, 77.66 62.47 62.47°
Fractional positions:
Nb: 0.0000 0.0000 0.0000
Nb: 0.7500 0.5000 0.5000
Al: 0.8750 0.5244 0.9756
Al: 0.3750 0.4756 0.0244
Al: 0.1494 0.9756 0.4756
Al: 0.6006 0.0244 0.5244
Ga: 0.5000 0.0000 0.0000
Ga: 0.2500 0.5000 0.5000



(9)
A plane-wave DFT calculation with meta-GGA SCAN was carried out for a crystal of Nb12Al3Ga relaxed with PBEsol.

## Properties
uncorrected energy: -27.56 eV per atom
DOS(E_F): 20.7 states/eV/f.u.
SG: Pmmm
formation enthalpy at 0 K: -236 meV/atom
mass density: 7.67 g cm⁻³

Cell: 5.1553 5.1581 10.3020 Å, 90.00 90.00 90.00°
Fractional positions:
Nb: 0.2519 0.5000 0.5000
Nb: 0.0000 0.7479 0.7494
Nb: 0.5000 0.0000 0.1263
Nb: 0.2504 0.5000 0.0000
Nb: 0.5000 0.0000 0.8737
Nb: 0.7496 0.5000 0.0000
Nb: 0.0000 0.2521 0.7494
Nb: 0.7481 0.5000 0.5000
Nb: 0.5000 0.0000 0.6256
Nb: 0.0000 0.2521 0.2506
Nb: 0.5000 0.0000 0.3744
Nb: 0.0000 0.7479 0.2506
Ga: 0.0000 0.0000 0.5000
Al: 0.5000 0.5000 0.2499
Al: 0.0000 0.0000 0.0000
Al: 0.5000 0.5000 0.7501



(10)
A plane-wave DFT calculation with meta-GGA SCAN was carried out for a crystal of Nd2Al3Ga relaxed with PBEsol.

## Properties
uncorrected energy: -21.72 eV per atom
DOS(E_F): 4.1 states/eV/f.u.
SG: R-3m
formation enthalpy at 0 K: -589 meV/atom
mass density: 5.86 g cm⁻³
ΔE to the lowest computed polymorph: 5 meV per atom

Cell: 5.5864 5.5864 5.6190 Å, 60.19 60.19 60.00°
Fractional positions:
Al: 0.0000 0.5000 0.0000
Al: 0.5000 0.0000 0.0000
Al: 0.5000 0.5000 0.0000
Nd: 0.8755 0.8755 0.3734
Nd: 0.1245 0.1245 0.6266
Ga: 0.5000 0.5000 0.5000



(11)
A plane-wave DFT calculation with meta-GGA SCAN was carried out for a crystal of Nd2Al3Ga relaxed with PBEsol.

## Properties
uncorrected energy: -21.72 eV per atom
DOS(E_F): 2.4 states/eV/f.u.
SG: Pmm2
formation enthalpy at 0 K: -594 meV/atom
mass density: 5.56 g cm⁻³
ΔE to the lowest computed polymorph: 0 meV per atom

Cell: 3.7152 4.5160 7.8160 Å, 90.00 90.00 90.00°
Fractional positions:
Nd: 0.0000 0.0000 0.4977
Nd: 0.0000 0.5000 0.0025
Al: 0.5000 0.5000 0.6647
Al: 0.5000 0.0000 0.1683
Al: 0.5000 0.0000 0.8325
Ga: 0.5000 0.5000 0.3342



(12)
A plane-wave DFT calculation with meta-GGA SCAN was carried out for a crystal of NdAl2Ga2 relaxed with PBEsol.

## Properties
uncorrected energy: -18.89 eV per atom
DOS(E_F): 2.1 states/eV/f.u.
SG: I4/mmm
formation enthalpy at 0 K: -530 meV/atom
mass density: 5.83 g cm⁻³

Cell: 4.1444 4.1444 6.3176 Å, 109.15 109.15 90.00°
Fractional positions:
Al: 0.7500 0.2500 0.5000
Al: 0.2500 0.7500 0.5000
Nd: 0.0000 0.0000 0.0000
Ga: 0.3898 0.3898 0.7796
Ga: 0.6102 0.6102 0.2204



(13)
A plane-wave DFT calculation with meta-GGA SCAN was carried out for a crystal of AlGaNi2 relaxed with PBEsol.

## Properties
uncorrected energy: -14.69 eV per atom
DOS(E_F): 1.8 states/eV/f.u.
SG: Fm-3m
formation enthalpy at 0 K: -583 meV/atom
mass density: 7.58 g cm⁻³

Cell: 4.0488 4.0488 4.0488 Å, 60.00 60.00 60.00°
Fractional positions:
Ni: 0.2500 0.2500 0.2500
Ni: 0.7500 0.7500 0.7500
Ga: 0.5000 0.5000 0.5000
Al: 0.0000 0.0000 0.0000



| no. | magnetization (μB/f.u.) |
| --- | --- |
| 1 | 0.0 |
| 2 | 0.0 |
| 3 | 0.0 |
| 4 | 0.0 |
| 5 | 1.7 |
| 6 | 0.0 |
| 7 | 0.0 |
| 8 | 0.0 |
| 9 | 0.2 |
| 10 | 0.0 |
| 11 | 0.0 |
| 12 | 0.0 |
| 13 | 0.0 |